Version A
A plane-wave DFT calculation with PBE-GGA was carried out for an optimized crystal structure of MgSn2Cl6.

Properties
- Symmetry: C2/c (15)

a = 6.870 Å, b = 12.205 Å, c = 12.205 Å
α = 44.95°, β = 69.11°, γ = 69.11°
Element x y z (fractional)
1 Mg 0.250 0.001 0.999
2 Mg 0.750 0.999 0.001
3 Sn 0.222 0.642 0.888
4 Sn 0.278 0.112 0.358
5 Sn 0.778 0.358 0.112
6 Sn 0.722 0.888 0.642
7 Cl 0.637 0.622 0.757
8 Cl 0.863 0.243 0.378
9 Cl 0.363 0.378 0.243
10 Cl 0.137 0.757 0.622
11 Cl 0.736 0.991 0.364
12 Cl 0.764 0.636 0.009
13 Cl 0.264 0.009 0.636
14 Cl 0.236 0.364 0.991
15 Cl 0.070 0.812 0.078
16 Cl 0.430 0.922 0.188
17 Cl 0.930 0.188 0.922
18 Cl 0.570 0.078 0.812


Version B
A plane-wave DFT calculation with PBE-GGA was carried out for an optimized crystal structure of MgSn2Cl6.

Properties
- Symmetry: P4_2/mnm (136)

a = 6.496 Å, b = 6.496 Å, c = 12.382 Å
α = 90.00°, β = 90.00°, γ = 90.00°
Element x y z (fractional)
1 Mg 0.000 0.000 0.000
2 Mg 0.500 0.500 0.500
3 Sn 0.000 0.000 0.334
4 Sn 0.500 0.500 0.834
5 Sn 0.500 0.500 0.166
6 Sn 0.000 0.000 0.666
7 Cl 0.313 0.313 0.348
8 Cl 0.687 0.687 0.348
9 Cl 0.187 0.813 0.848
10 Cl 0.813 0.187 0.848
11 Cl 0.187 0.813 0.152
12 Cl 0.813 0.187 0.152
13 Cl 0.313 0.313 0.652
14 Cl 0.687 0.687 0.652
15 Cl 0.279 0.279 0.000
16 Cl 0.721 0.721 0.000
17 Cl 0.221 0.779 0.500
18 Cl 0.779 0.221 0.500


Relative to the most stable one, in meV/atom, the structures come out at version A 6; version B 0.


Version A
A plane-wave DFT calculation with PBE-GGA was carried out for an optimized crystal structure of MgSnCl6.

Properties
- Symmetry: R-3 (148)

a = 6.352 Å, b = 6.353 Å, c = 6.768 Å
α = 62.02°, β = 62.03°, γ = 60.01°
Element x y z (fractional)
1 Mg 0.500 0.500 0.500
2 Sn 0.000 0.000 0.000
3 Cl 0.092 0.400 0.751
4 Cl 0.757 0.092 0.751
5 Cl 0.600 0.243 0.249
6 Cl 0.243 0.908 0.249
7 Cl 0.908 0.600 0.249
8 Cl 0.400 0.757 0.751


Version B
A plane-wave DFT calculation with PBE-GGA was carried out for an optimized crystal structure of MgSnCl6.

Properties
- Symmetry: C2/m (12)

a = 7.263 Å, b = 6.259 Å, c = 7.001 Å
α = 98.41°, β = 105.04°, γ = 125.44°
Element x y z (fractional)
1 Mg 0.000 0.000 0.000
2 Sn 0.500 0.000 0.000
3 Cl 0.885 0.136 0.273
4 Cl 0.612 0.864 0.727
5 Cl 0.388 0.136 0.273
6 Cl 0.115 0.864 0.727
7 Cl 0.259 0.518 0.000
8 Cl 0.741 0.482 0.000


Relative to the most stable one, in meV/atom, the structures come out at version A 26; version B 0.


Version A
A plane-wave DFT calculation with PBE-GGA was carried out for an optimized crystal structure of MgSn2Cl.

Properties
- Symmetry: I-42d (122)

a = 4.188 Å, b = 4.188 Å, c = 12.554 Å
α = 80.40°, β = 80.40°, γ = 90.00°
Element x y z (fractional)
1 Mg 0.500 0.500 0.000
2 Mg 0.250 0.750 0.500
3 Sn 0.615 0.125 0.250
4 Sn 0.135 0.625 0.250
5 Sn 0.375 0.385 0.750
6 Sn 0.875 0.865 0.750
7 Cl 0.000 0.000 0.000
8 Cl 0.750 0.250 0.500


Version B
A plane-wave DFT calculation with PBE-GGA was carried out for an optimized crystal structure of MgSn2Cl.

Properties
- Symmetry: Fm-3m (225)

a = 5.212 Å, b = 5.212 Å, c = 5.212 Å
α = 60.00°, β = 60.00°, γ = 60.00°
Element x y z (fractional)
1 Mg 0.000 0.000 0.000
2 Sn 0.250 0.250 0.250
3 Sn 0.750 0.750 0.750
4 Cl 0.500 0.500 0.500


Relative to the most stable one, in meV/atom, the structures come out at version A 0; version B 202.


Version A
A plane-wave DFT calculation with PBE-GGA was carried out for an optimized crystal structure of SrMg2Cl.

Properties
- Symmetry: P4/mmm (123)

a = 3.562 Å, b = 3.562 Å, c = 9.201 Å
α = 90.00°, β = 90.00°, γ = 90.00°
Element x y z (fractional)
1 Cl 0.500 0.500 0.750
2 Mg 0.000 0.000 0.963
3 Mg 0.000 0.000 0.537
4 Sr 0.500 0.500 0.250


Version B
A plane-wave DFT calculation with PBE-GGA was carried out for an optimized crystal structure of SrMg2Cl.

Properties
- Symmetry: I4/mmm (139)

a = 7.412 Å, b = 7.412 Å, c = 7.412 Å
α = 146.54°, β = 146.54°, γ = 48.04°
Element x y z (fractional)
1 Cl 0.750 0.250 0.500
2 Mg 0.000 0.000 0.000
3 Mg 0.500 0.500 0.000
4 Sr 0.250 0.750 0.500


Relative to the most stable one, in meV/atom, the structures come out at version A 234; version B 0.